# CuPPb, optimized geometry, DFT PBE
# excess energy over the best structure of this formula in the dataset	0.0760	eV/atom
# space-group type	P6_3mc
data_CuPPb
_chemical_formula_sum 'Cu2 P2 Pb2'
_cell_length_a 4.012
_cell_length_b 4.012
_cell_length_c 9.577
_cell_angle_alpha 90.00
_cell_angle_beta 90.00
_cell_angle_gamma 120.00
_space_group_name_H-M_alt 'P 1'
_space_group_IT_number 1
loop_
_space_group_symop_operation_xyz
'x,y,z'
loop_
_atom_site_label
_atom_site_fract_x
_atom_site_fract_y
_atom_site_fract_z
_atom_site_occupancy
Cu1 0.333 0.667 0.000 1
Cu2 0.667 0.333 0.500 1
P1 0.000 0.000 0.016 1
P2 0.000 0.000 0.516 1
Pb1 0.333 0.667 0.309 1
Pb2 0.667 0.333 0.809 1

---

# LiThCuPt3, optimized geometry, DFT PBE
# total DFT energy (no corrections)	-5.8769	eV/atom
# space-group type	Cmcm
data_LiThCuPt3
_chemical_formula_sum 'Li2 Th2 Cu2 Pt6'
_cell_length_a 7.262
_cell_length_b 7.262
_cell_length_c 5.696
_cell_angle_alpha 90.00
_cell_angle_beta 90.00
_cell_angle_gamma 134.18
_space_group_name_H-M_alt 'P 1'
_space_group_IT_number 1
loop_
_space_group_symop_operation_xyz
'x,y,z'
loop_
_atom_site_label
_atom_site_fract_x
_atom_site_fract_y
_atom_site_fract_z
_atom_site_occupancy
Li1 0.116 0.884 0.750 1
Li2 0.884 0.116 0.250 1
Th1 0.338 0.662 0.750 1
Th2 0.662 0.338 0.250 1
Cu1 0.370 0.630 0.250 1
Cu2 0.630 0.370 0.750 1
Pt1 0.181 0.819 0.250 1
Pt2 0.246 0.246 0.000 1
Pt3 0.246 0.246 0.500 1
Pt4 0.754 0.754 0.000 1
Pt5 0.754 0.754 0.500 1
Pt6 0.819 0.181 0.750 1

---

# Zr12TlPb3, optimized geometry, DFT PBE
# total DFT energy (no corrections)	-7.4077	eV/atom
# space-group type	Pmmm
data_Zr12TlPb3
_chemical_formula_sum 'Zr12 Tl1 Pb3'
_cell_length_a 5.690
_cell_length_b 5.692
_cell_length_c 11.344
_cell_angle_alpha 90.00
_cell_angle_beta 90.00
_cell_angle_gamma 90.00
_space_group_name_H-M_alt 'P 1'
_space_group_IT_number 1
loop_
_space_group_symop_operation_xyz
'x,y,z'
loop_
_atom_site_label
_atom_site_fract_x
_atom_site_fract_y
_atom_site_fract_z
_atom_site_occupancy
Zr1 0.000 0.000 0.123 1
Zr2 0.000 0.000 0.374 1
Zr3 0.000 0.000 0.626 1
Zr4 0.000 0.000 0.877 1
Zr5 0.249 0.500 0.249 1
Zr6 0.249 0.500 0.751 1
Zr7 0.500 0.250 0.500 1
Zr8 0.500 0.252 0.000 1
Zr9 0.500 0.748 0.000 1
Zr10 0.500 0.750 0.500 1
Zr11 0.751 0.500 0.249 1
Zr12 0.751 0.500 0.751 1
Tl1 0.000 0.500 0.000 1
Pb1 0.000 0.500 0.500 1
Pb2 0.500 0.000 0.250 1
Pb3 0.500 0.000 0.750 1